VASP calculation (GGA+U) on a geometry-optimized KPrV4O12 structure.

Properties
E_tot in eV per atom: -7.365
Total magnetization in μB per formula unit: 0.00
SG: Amm2 (38)

a = 6.3268 Å, b = 6.3268 Å, c = 7.2567 Å
α = 90.00°, β = 90.00°, γ = 113.43°
With the nearest neighbours (Å) after each atom.
Positions (direct):
O1 0.7716 0.2284 0.7199  2 V 1.84
O2 0.3224 0.2155 0.7985  1 V 1.68
O3 0.0088 0.4624 0.0000  2 V 1.92
O4 0.5376 0.9912 0.0000  2 V 1.92
O5 0.7716 0.2284 0.2801  2 V 1.84
O6 0.7845 0.6776 0.2015  1 V 1.68
O7 0.7845 0.6776 0.7985  1 V 1.68
O8 0.9752 0.5722 0.5000  2 V 1.85
O9 0.3224 0.2155 0.2015  1 V 1.68
O10 0.2748 0.7252 0.7589  2 V 1.91
O11 0.4278 0.0248 0.5000  2 V 1.85
O12 0.2748 0.7252 0.2411  2 V 1.91
Pr1 0.4308 0.5692 0.0000  8 O 2.40-2.53
K1 0.9778 0.0222 0.5000  8 O 2.70-2.97
V1 0.4645 0.0476 0.7528  3 O 1.68-1.85
V2 0.4645 0.0476 0.2472  3 O 1.68-1.85
V3 0.9524 0.5355 0.2472  3 O 1.68-1.85
V4 0.9524 0.5355 0.7528  3 O 1.68-1.85